Entry 1:
# NaGe5W3 PBE relaxed
data_NaGe5W3
_chemical_formula_sum 'Na1 Ge5 W3'
_cell_length_a 5.3141
_cell_length_b 5.3141
_cell_length_c 8.1754
_cell_angle_alpha 90.00
_cell_angle_beta 90.00
_cell_angle_gamma 120.00
_symmetry_space_group_name_H-M 'P 6/m m m'
_symmetry_Int_Tables_number 191
_symmetry_space_group_name_Hall '-P 6 2'
loop_
_atom_site_label
_atom_site_fract_x
_atom_site_fract_y
_atom_site_fract_z
Na1 0.0000 0.0000 0.0000
Ge1 0.0000 0.0000 0.5000
Ge2 0.3333 0.6667 0.2231
W1 0.0000 0.5000 0.5000
# * electronic total energy: -6.807 eV/atom
# * size of the total moment: 0.01 μB per formula unit

***

Entry 2:
# NaSrNbPd PBE relaxed
data_NaSrNbPd
_chemical_formula_sum 'Na4 Sr4 Nb4 Pd4'
_cell_length_a 7.233
_cell_length_b 7.233
_cell_length_c 7.233
_cell_angle_alpha 90.00
_cell_angle_beta 90.00
_cell_angle_gamma 90.00
_symmetry_space_group_name_H-M 'F -4 3 m'
_symmetry_Int_Tables_number 216
_symmetry_space_group_name_Hall 'F -4 2 3'
loop_
_atom_site_label
_atom_site_fract_x
_atom_site_fract_y
_atom_site_fract_z
Na1 0.000 0.000 0.000
Sr1 0.250 0.250 0.750
Nb1 0.250 0.250 0.250
Pd1 0.000 0.000 0.500
# * distance to the lowest polymorph of the same formula: 0.000 eV/atom
# * size of the total moment: 3.38 μB per formula unit

***

Entry 3:
# InAg124 PBE relaxed
data_InAg124
_chemical_formula_sum 'In4 Ag496'
_cell_length_a 20.561
_cell_length_b 20.561
_cell_length_c 20.561
_cell_angle_alpha 90.00
_cell_angle_beta 90.00
_cell_angle_gamma 90.00
_symmetry_space_group_name_H-M 'F m -3 m'
_symmetry_Int_Tables_number 225
_symmetry_space_group_name_Hall '-F 4 2 3'
loop_
_atom_site_label
_atom_site_fract_x
_atom_site_fract_y
_atom_site_fract_z
In1 0.000 0.000 0.000
Ag1 0.000 0.000 0.201
Ag2 0.000 0.000 0.400
Ag3 0.000 0.100 0.300
Ag4 0.000 0.101 0.101
Ag5 0.000 0.200 0.200
Ag6 0.100 0.100 0.200
Ag7 0.100 0.100 0.400
Ag8 0.100 0.200 0.300
Ag9 0.200 0.200 0.200
# * electronic total energy: -2.823 eV/atom

***

Entry 4:
# MoI4Br PBE relaxed
data_MoI4Br
_chemical_formula_sum 'Mo2 I8 Br2'
_cell_length_a 6.981
_cell_length_b 7.519
_cell_length_c 10.132
_cell_angle_alpha 108.99
_cell_angle_beta 90.92
_cell_angle_gamma 116.01
_symmetry_space_group_name_H-M 'P -1'
_symmetry_Int_Tables_number 2
_symmetry_space_group_name_Hall '-P 1'
loop_
_atom_site_label
_atom_site_fract_x
_atom_site_fract_y
_atom_site_fract_z
Mo1 0.101 0.209 0.210
I1 0.073 0.815 0.563
I2 0.131 0.617 0.856
I3 0.316 0.998 0.243
I4 0.451 0.580 0.333
Br1 0.223 0.173 0.956
# * distance to the lowest polymorph of the same formula: 0.000 eV/atom
# * size of the total moment: 0.99 μB per formula unit